{"formula": "CoAg4Pb", "functional": "meta-GGA SCAN", "state": "PBEsol geometry", "lattice_angstrom": [[0.000, 3.810, 3.810], [3.810, 0.000, 3.810], [3.810, 3.810, 0.000]], "species": ["Co", "Ag", "Ag", "Ag", "Ag", "Pb"], "fractional_positions": [[0.000, 0.000, 0.000], [0.123, 0.626, 0.626], [0.626, 0.123, 0.626], [0.626, 0.626, 0.123], [0.626, 0.626, 0.626], [0.250, 0.250, 0.250]], "energy_ev_per_atom": -35.9740, "ef_ev_per_fu": 2.7}

{"formula": "Co3AgPb", "functional": "meta-GGA SCAN", "state": "PBEsol geometry", "lattice_angstrom": [[4.589, 0.000, 0.000], [0.000, 4.589, 0.000], [0.000, 0.000, 4.589]], "species": ["Co", "Co", "Co", "Ag", "Pb"], "fractional_positions": [[0.000, 0.000, 0.500], [0.000, 0.500, 0.000], [0.500, 0.000, 0.000], [0.000, 0.000, 0.000], [0.500, 0.500, 0.500]], "energy_ev_per_atom": -30.3982, "ef_ev_per_fu": 7.1}

{"formula": "CoAg2Pb", "functional": "meta-GGA SCAN", "state": "PBEsol geometry", "lattice_angstrom": [[1.537, 0.888, 8.769], [-1.537, 0.888, 8.769], [0.000, -1.775, 8.769]], "species": ["Co", "Ag", "Ag", "Pb"], "fractional_positions": [[0.000, 0.000, 0.000], [0.491, 0.491, 0.491], [0.741, 0.741, 0.741], [0.256, 0.256, 0.256]], "energy_ev_per_atom": -38.4909, "ef_ev_per_fu": 1.9}

{"formula": "CoAg2Pb", "functional": "meta-GGA SCAN", "state": "PBEsol geometry", "lattice_angstrom": [[-1.935, 1.935, 4.536], [1.935, -1.935, 4.536], [1.935, 1.935, -4.536]], "species": ["Co", "Ag", "Ag", "Pb"], "fractional_positions": [[0.000, 0.000, 0.000], [0.250, 0.750, 0.500], [0.750, 0.250, 0.500], [0.500, 0.500, 0.000]], "energy_ev_per_atom": -38.5074, "ef_ev_per_fu": 1.8}

- Number 2 is which compound?
  Co3AgPb

- Which formula does entry 1 have?
  CoAg4Pb